Material: LiTl2Fe
Method: DFT, PBE
State: optimized geometry

Unit cell a=4.0062 b=4.0062 c=9.9733 alpha=90.00 beta=90.00 gamma=90.00
Space group I-4m2 (No. 119)
One atom of each set of equivalent atoms:
1 Li 0.0000 0.0000 0.0000
2 Tl 0.0000 0.0000 0.5000
3 Tl 0.0000 0.5000 0.7500
4 Fe 0.0000 0.5000 0.2500

Properties
Its energy relative to the elements is 0.320 eV/atom.